Computed, not measured: La2Cd17 after structural relaxation at the PBE level of DFT.

abc: 10.1655 10.1655 10.0024
angles: 90.00 90.00 120.00
Space group P6_3/mmc (No. 194)
Unique sites:
La 0.0000 0.0000 0.2500 x2
La 0.3333 0.6667 0.2500 x2
Cd 0.0000 0.5000 0.0000 x6
Cd 0.0379 0.3656 0.7500 x12
Cd 0.1602 0.3203 0.0288 x12
Cd 0.3333 0.6667 0.5977 x4

The value obtained for the density of states at the Fermi level is 12.926 states/eV/cell. The total energy is -1.524 eV per atom. The formation energy comes out at -0.187 eV per atom. The crystal system is hexagonal.

---

Computed, not measured: Mg2MnAs after structural relaxation at the PBE level of DFT.

abc: 6.6616 6.6616 6.6616
angles: 90.00 90.00 90.00
Space group F-43m (No. 216)
Unique sites:
Mg 0.0000 0.0000 0.0000 x4
Mg 0.2500 0.2500 0.2500 x4
Mn 0.0000 0.0000 0.5000 x4
As 0.2500 0.2500 0.7500 x4

The value obtained for the density of states at the Fermi level is 9.977 states/eV/cell. The total energy is -4.118 eV per atom. The formation energy comes out at 0.134 eV per atom. The crystal system is cubic.

---

Computed, not measured: CaDyGe2Pt5 after structural relaxation at the PBE level of DFT.

abc: 4.2318 4.2318 9.0826
angles: 90.00 90.00 90.00
Space group P4/mmm (No. 123)
Unique sites:
Ca 0.0000 0.0000 0.0000 x1
Dy 0.0000 0.0000 0.5000 x1
Ge 0.5000 0.5000 0.3659 x2
Pt 0.0000 0.5000 0.2286 x4
Pt 0.5000 0.5000 0.0000 x1

The value obtained for the density of states at the Fermi level is 6.191 states/eV/cell. The total energy is -5.908 eV per atom. The formation energy comes out at -0.792 eV per atom. The crystal system is tetragonal.

---

Computed, not measured: Cr2GeAs after structural relaxation at the PBE level of DFT.

abc: 5.5474 5.5474 11.4279
angles: 90.00 90.00 90.00
Space group I-42d (No. 122)
Unique sites:
Cr 0.2473 0.2500 0.1250 x8
Ge 0.0000 0.0000 0.5000 x4
As 0.0000 0.0000 0.0000 x4

The value obtained for the density of states at the Fermi level is 6.499 states/eV/cell. The total energy is -6.570 eV per atom. The formation energy comes out at 0.559 eV per atom. The crystal system is tetragonal. The calculation puts the energy above the most stable polymorph in this dataset at 389 meV per atom.

---

Computed, not measured: Gd2HoAg after structural relaxation at the PBE level of DFT.

abc: 3.5668 3.5668 31.6062
angles: 90.00 90.00 120.00
Space group R-3m (No. 166, hexagonal axes)
Unique sites:
Gd 0.0000 0.0000 0.2422 x6
Ho 0.0000 0.0000 0.0000 x3
Ag 0.0000 0.0000 0.5000 x3

The value obtained for the density of states at the Fermi level is 13.992 states/eV/cell. The total energy is -8.909 eV per atom. The formation energy comes out at -0.011 eV per atom. The crystal system is trigonal. The calculation puts the energy above the most stable polymorph in this dataset at 108 meV per atom.

---

Computed, not measured: CrGeP2 after structural relaxation at the PBE level of DFT.

abc: 5.4590 5.4590 10.8128
angles: 90.00 90.00 90.00
Space group I-42d (No. 122)
Unique sites:
Cr 0.0000 0.0000 0.0000 x4
Ge 0.0000 0.0000 0.5000 x4
P 0.2362 0.2500 0.1250 x8

The value obtained for the density of states at the Fermi level is 9.870 states/eV/cell. The total energy is -6.226 eV per atom. The formation energy comes out at 0.040 eV per atom. The crystal system is tetragonal.

---

Computed, not measured: HfAlAu2 after structural relaxation at the PBE level of DFT.

abc: 4.3214 4.3214 3.9112
angles: 90.00 90.00 90.00
Space group P4/mmm (No. 123)
Unique sites:
Hf 0.0000 0.0000 0.0000 x1
Al 0.5000 0.5000 0.0000 x1
Au 0.0000 0.5000 0.5000 x2

The value obtained for the density of states at the Fermi level is 2.310 states/eV/cell. The total energy is -5.457 eV per atom. The formation energy comes out at -0.395 eV per atom. The crystal system is tetragonal.

---

Computed, not measured: Nd2AsF after structural relaxation at the PBE level of DFT.

abc: 4.1890 4.1890 23.7824
angles: 90.00 90.00 120.00
Space group R-3m (No. 166, hexagonal axes)
Unique sites:
Nd 0.0000 0.0000 0.0966 x6
As 0.0000 0.0000 0.5000 x3
F 0.0000 0.0000 0.0000 x3

The value obtained for the uncorrected formation energy is -1915 meV per atom. The value obtained for the density of states at the Fermi level is 6.188 states/eV/cell. The total energy is -5.929 eV per atom. The crystal system is trigonal.

---

Computed, not measured: ErTm4In5 after structural relaxation at the PBE level of DFT.

abc: 3.6876 3.6876 18.9632
angles: 90.00 90.00 90.00
Space group P4/mmm (No. 123)
Unique sites:
Er 0.0000 0.0000 0.0000 x1
Tm 0.0000 0.0000 0.2008 x2
Tm 0.0000 0.0000 0.4003 x2
In 0.5000 0.5000 0.1010 x2
In 0.5000 0.5000 0.3006 x2
In 0.5000 0.5000 0.5000 x1

The value obtained for the density of states at the Fermi level is 5.540 states/eV/cell. The total energy is -4.041 eV per atom. The formation energy comes out at -0.427 eV per atom. The crystal system is tetragonal.

---

Computed, not measured: CdPtS3 after structural relaxation at the PBE level of DFT.

abc: 4.9174 4.9174 4.9174
angles: 90.00 90.00 90.00
Space group Pm-3m (No. 221)
Unique sites:
Cd 0.0000 0.0000 0.0000 x1
Pt 0.5000 0.5000 0.5000 x1
S 0.0000 0.0000 0.5000 x3

The value obtained for the uncorrected formation energy is 1293 meV per atom. The value obtained for the density of states at the Fermi level is 5.984 states/eV/cell. The total energy is -2.575 eV per atom. The crystal system is cubic. The calculation puts the energy above the most stable polymorph in this dataset at 904 meV per atom.

---

Computed, not measured: K2ReIr after structural relaxation at the PBE level of DFT.

abc: 2.8228 4.0187 10.2547
angles: 90.00 90.04 90.00
Space group Pm (No. 6)
Unique sites:
K 0.0000 0.0000 0.0000 x1
K 0.4834 0.5000 0.4252 x1
Re 0.4902 0.5000 0.7486 x1
Ir 0.9889 0.0000 0.6694 x1

The value obtained for the density of states at the Fermi level is 2.838 states/eV/cell. The total energy is -5.314 eV per atom. The formation energy comes out at 0.562 eV per atom. The crystal system is monoclinic. The calculation puts the energy above the most stable polymorph in this dataset at 0 meV per atom.

---

Computed, not measured: HfTaCrTc after structural relaxation at the PBE level of DFT.

abc: 6.3941 6.3941 6.3941
angles: 90.00 90.00 90.00
Space group F-43m (No. 216)
Unique sites:
Hf 0.0000 0.0000 0.0000 x4
Ta 0.0000 0.0000 0.5000 x4
Cr 0.2500 0.2500 0.2500 x4
Tc 0.2500 0.2500 0.7500 x4

The value obtained for the density of states at the Fermi level is 16.762 states/eV/cell. The total energy is -10.652 eV per atom. The formation energy comes out at -0.203 eV per atom. The crystal system is cubic.